{"formula": "BaRuSe", "functional": "GGA-PBE", "state": "relaxed", "mass_density_g_cm3": 6.8, "de_polymorph_ev_per_atom": 0.000, "crystal_system": "hexagonal", "energy_ev_per_atom": -5.381, "raw_formation_energy_mev_per_atom": -487, "lattice_angstrom": [[-3.7937, -1.5736, 1.2023], [3.2263, 0.1848, 2.8056], [-1.4293, 4.4764, 1.3487]], "species": ["Ba", "Se", "Ru"], "fractional_positions": [[0.0000, 0.0000, 0.0001], [0.3333, 0.6667, 0.5001], [0.6667, 0.3333, 0.4999]]}